# 1
CaY2Ga2 PBE optimized geometry; DFT formation energy = -0.30 eV per atom; SG = I4/mmm, No. 139; N(E_F) = 6.3 states/eV per cell; V = 27.78 Å³/atom; spin magnetization = 0.00 Bohr magnetons per cell; raw total energy = -4.500 eV per atom
1.0
-2.335 2.335 6.366
2.335 -2.335 6.366
2.335 2.335 -6.366
Ca Y Ga
1 2 2
direct
0.000 0.000 0.000
0.250 0.750 0.500
0.750 0.250 0.500
0.403 0.403 0.000
0.597 0.597 0.000

# 2
Rb2VSe8 PBE optimized geometry; formation energy without anion corrections = -0.4764 eV per atom; SG = C2/m, No. 12; N(E_F) = 3.9 states/eV per cell; V = 34.24 Å³/atom; spin magnetization = 0.00 Bohr magnetons per cell; raw total energy = -4.015 eV per atom
1.0
7.870 -3.951 0.000
7.870 3.951 0.000
-1.899 0.000 6.057
Rb V Se
2 1 8
direct
0.160 0.160 0.242
0.840 0.840 0.758
0.500 0.500 0.500
0.064 0.064 0.661
0.194 0.560 0.322
0.440 0.440 0.838
0.440 0.806 0.678
0.560 0.194 0.322
0.560 0.560 0.162
0.806 0.440 0.678
0.936 0.936 0.339

# 3
Hg4OsPb PBE optimized geometry; DFT formation energy = 0.88 eV per atom; SG = F-43m, No. 216; N(E_F) = 6.4 states/eV per cell; V = 22.76 Å³/atom; spin magnetization = 0.96 Bohr magnetons per cell; raw total energy = -1.811 eV per atom
1.0
0.000 4.087 4.087
4.087 0.000 4.087
4.087 4.087 0.000
Hg Os Pb
4 1 1
direct
0.124 0.124 0.124
0.124 0.124 0.627
0.124 0.627 0.124
0.627 0.124 0.124
0.750 0.750 0.750
0.500 0.500 0.500

# 4
MnRe2Ni PBE optimized geometry; DFT formation energy = 0.04 eV per atom; SG = Pm, No. 6; N(E_F) = 3.1 states/eV per cell; V = 13.14 Å³/atom; spin magnetization = 1.71 Bohr magnetons per cell; raw total energy = -9.923 eV per atom
1.0
2.603 0.000 0.000
0.000 4.188 0.000
-0.802 0.000 4.824
Mn Re Ni
1 2 1
direct
0.000 0.000 0.000
0.381 0.500 0.780
0.620 0.000 0.477
0.047 0.500 0.256

# 5
K2SbW PBE optimized geometry; formation energy without anion corrections = 0.7266 eV per atom; SG = Immm, No. 71; N(E_F) = 4.2 states/eV per cell; V = 37.07 Å³/atom; spin magnetization = 0.52 Bohr magnetons per cell; raw total energy = -4.091 eV per atom
1.0
-1.631 2.188 10.389
1.631 -2.188 10.389
1.631 2.188 -10.389
K Sb W
2 1 1
direct
0.150 0.150 0.000
0.850 0.850 0.000
0.000 0.500 0.500
0.500 0.000 0.500

# 6
La2Ti2Ru PBE optimized geometry; DFT formation energy = 0.26 eV per atom; SG = I4/mmm, No. 139; N(E_F) = 4.1 states/eV per cell; V = 24.77 Å³/atom; spin magnetization = 0.00 Bohr magnetons per cell; raw total energy = -6.722 eV per atom
1.0
-1.773 1.773 9.855
1.773 -1.773 9.855
1.773 1.773 -9.855
La Ti Ru
2 2 1
direct
0.088 0.088 0.000
0.912 0.912 0.000
0.250 0.750 0.500
0.750 0.250 0.500
0.500 0.500 0.000

Question: The lowest V belongs to which entry?
Answer: MnRe2Ni

Question: Which value of N(E_F) does entry 3 give?
Answer: 6.4 states/eV per cell